Entry 1:
Entry from the Alexandria database: a geometry-optimized HfCo4Cu structure (PBE).

Output
Total magnetization: 0.809 μB/atom
ΔH_f (0 K): -0.17 eV per atom

Structure (CIF):
```
data_HfCo4Cu
_space_group_name_H-M_alt 'F -4 3 m'
_space_group_IT_number 216
_space_group_name_Hall 'F -4 2 3'
_cell_length_a 6.731
_cell_length_b 6.731
_cell_length_c 6.731
_cell_angle_alpha 90.00
_cell_angle_beta 90.00
_cell_angle_gamma 90.00
loop_
_atom_site_label
_atom_site_fract_x
_atom_site_fract_y
_atom_site_fract_z
Hf1 0.000 0.000 0.000
Co1 0.124 0.124 0.376
Cu1 0.250 0.250 0.750
```


Entry 2:
Entry from the Alexandria database: a geometry-optimized UTcSnRu structure (PBE).

Output
Total magnetization: 0.103 μB/atom
ΔH_f (0 K): -0.18 eV per atom

Structure (CIF):
```
data_UTcSnRu
_space_group_name_H-M_alt 'C 1 m 1'
_space_group_IT_number 8
_cell_length_a 8.032
_cell_length_b 4.769
_cell_length_c 4.336
_cell_angle_alpha 90.00
_cell_angle_beta 114.75
_cell_angle_gamma 90.00
loop_
_space_group_symop_operation_xyz
'x,y,z'
'x,-y,z'
'x+1/2,y+1/2,z'
'x+1/2,-y+1/2,z'
loop_
_atom_site_label
_atom_site_fract_x
_atom_site_fract_y
_atom_site_fract_z
U1 0.000 0.000 0.000
Tc1 0.236 0.000 0.806
Sn1 0.498 0.000 0.504
Ru1 0.260 0.500 0.215
```


Entry 3:
Entry from the Alexandria database: a geometry-optimized MgFeHRh2 structure (PBE).

Output
Total magnetization: 0.804 μB/atom
ΔE to the lowest computed polymorph: 0 meV/atom

Structure (CIF):
```
data_MgFeHRh2
_space_group_name_H-M_alt 'P 4/m m m'
_space_group_IT_number 123
_space_group_name_Hall '-P 4 2'
_cell_length_a 4.062
_cell_length_b 4.062
_cell_length_c 3.629
_cell_angle_alpha 90.00
_cell_angle_beta 90.00
_cell_angle_gamma 90.00
loop_
_atom_site_label
_atom_site_fract_x
_atom_site_fract_y
_atom_site_fract_z
Mg1 0.000 0.000 0.000
Fe1 0.500 0.500 0.000
H1 0.500 0.500 0.500
Rh1 0.000 0.500 0.500
```


Entry 4:
Entry from the Alexandria database: a geometry-optimized LiReRu2 structure (PBE).

Output
Total magnetization: 0.000 μB/atom
ΔH_f (0 K): 0.21 eV per atom
ΔE to the lowest computed polymorph: 198 meV/atom

Structure (CIF):
```
data_LiReRu2
_space_group_name_H-M_alt 'P 1 2/m 1'
_space_group_IT_number 10
_cell_length_a 2.682
_cell_length_b 3.926
_cell_length_c 5.284
_cell_angle_alpha 90.00
_cell_angle_beta 104.02
_cell_angle_gamma 90.00
loop_
_space_group_symop_operation_xyz
'x,y,z'
'-x,-y,-z'
'-x,y,-z'
'x,-y,z'
loop_
_atom_site_label
_atom_site_fract_x
_atom_site_fract_y
_atom_site_fract_z
Li1 0.000 0.000 0.000
Re1 0.000 0.000 0.500
Ru1 0.417 0.500 0.237
```


Entry 5:
Entry from the Alexandria database: a geometry-optimized AlSb2Mo structure (PBE).

Output
Total magnetization: 0.000 μB/atom
Raw formation energy: 0.44 eV per atom

Structure (CIF):
```
data_AlSb2Mo
_space_group_name_H-M_alt 'P 4/m m m'
_space_group_IT_number 123
_space_group_name_Hall '-P 4 2'
_cell_length_a 4.763
_cell_length_b 4.763
_cell_length_c 3.500
_cell_angle_alpha 90.00
_cell_angle_beta 90.00
_cell_angle_gamma 90.00
loop_
_atom_site_label
_atom_site_fract_x
_atom_site_fract_y
_atom_site_fract_z
Al1 0.000 0.000 0.000
Sb1 0.000 0.500 0.500
Mo1 0.500 0.500 0.000
```


Entry 6:
Entry from the Alexandria database: a geometry-optimized MgTl2Cd structure (PBE).

Output
Total magnetization: 0.000 μB/atom
ΔH_f (0 K): 0.04 eV per atom
ΔE to the lowest computed polymorph: 44 meV/atom

Structure (CIF):
```
data_MgTl2Cd
_space_group_name_H-M_alt 'P 1 2/m 1'
_space_group_IT_number 10
_cell_length_a 3.424
_cell_length_b 5.229
_cell_length_c 5.966
_cell_angle_alpha 90.00
_cell_angle_beta 92.16
_cell_angle_gamma 90.00
loop_
_space_group_symop_operation_xyz
'x,y,z'
'-x,-y,-z'
'-x,y,-z'
'x,-y,z'
loop_
_atom_site_label
_atom_site_fract_x
_atom_site_fract_y
_atom_site_fract_z
Mg1 0.000 0.000 0.000
Tl1 0.257 0.500 0.751
Cd1 0.500 0.000 0.500
```


Entry 7:
Entry from the Alexandria database: a geometry-optimized KCoP2 structure (PBE).

Output
Total magnetization: 0.000 μB/atom
ΔH_f (0 K): -0.34 eV per atom
ΔE to the lowest computed polymorph: 0 meV/atom

Structure (CIF):
```
data_KCoP2
_space_group_name_H-M_alt 'C 1 2/m 1'
_space_group_IT_number 12
_cell_length_a 6.846
_cell_length_b 3.449
_cell_length_c 6.573
_cell_angle_alpha 90.00
_cell_angle_beta 103.99
_cell_angle_gamma 90.00
loop_
_space_group_symop_operation_xyz
'x,y,z'
'-x,-y,-z'
'-x,y,-z'
'x,-y,z'
'x+1/2,y+1/2,z'
'-x+1/2,-y+1/2,-z'
'-x+1/2,y+1/2,-z'
'x+1/2,-y+1/2,z'
loop_
_atom_site_label
_atom_site_fract_x
_atom_site_fract_y
_atom_site_fract_z
K1 0.000 0.000 0.000
Co1 0.000 0.500 0.500
P1 0.219 0.000 0.621
```


Entry 8:
Entry from the Alexandria database: a geometry-optimized MnCrBPdAu structure (PBE).

Output
Total magnetization: 0.343 μB/atom
ΔH_f (0 K): 0.01 eV per atom
ΔE to the lowest computed polymorph: 0 meV/atom

Structure (CIF):
```
data_MnCrBPdAu
_space_group_name_H-M_alt 'R 3 m'
_space_group_IT_number 160
_space_group_name_Hall 'R 3 -2"'
_cell_length_a 2.9309
_cell_length_b 2.9309
_cell_length_c 26.4505
_cell_angle_alpha 90.00
_cell_angle_beta 90.00
_cell_angle_gamma 120.00
loop_
_atom_site_label
_atom_site_fract_x
_atom_site_fract_y
_atom_site_fract_z
Mn1 0.0000 0.0000 0.0000
Cr1 0.0000 0.0000 0.2500
B1 0.0000 0.0000 0.6253
Pd1 0.0000 0.0000 0.4110
Au1 0.0000 0.0000 0.8336
```


Entry 9:
Entry from the Alexandria database: a geometry-optimized AsSN2F structure (PBE).

Output
Total magnetization: 0.000 μB/atom
Raw formation energy: 1.21 eV per atom
ΔE to the lowest computed polymorph: 110 meV/atom

Structure (CIF):
```
data_AsSN2F
_space_group_name_H-M_alt 'P 4/m m m'
_space_group_IT_number 123
_space_group_name_Hall '-P 4 2'
_cell_length_a 3.773
_cell_length_b 3.773
_cell_length_c 3.887
_cell_angle_alpha 90.00
_cell_angle_beta 90.00
_cell_angle_gamma 90.00
loop_
_atom_site_label
_atom_site_fract_x
_atom_site_fract_y
_atom_site_fract_z
As1 0.000 0.000 0.000
S1 0.500 0.500 0.500
N1 0.000 0.500 0.500
F1 0.500 0.500 0.000
```


Entry 10:
Entry from the Alexandria database: a geometry-optimized PaPt3Rh2 structure (PBE).

Output
Total magnetization: 0.000 μB/atom
ΔH_f (0 K): -0.51 eV per atom

Structure (CIF):
```
data_PaPt3Rh2
_space_group_name_H-M_alt 'F m m m'
_space_group_IT_number 69
_space_group_name_Hall '-F 2 2'
_cell_length_a 5.491
_cell_length_b 9.113
_cell_length_c 16.647
_cell_angle_alpha 90.00
_cell_angle_beta 90.00
_cell_angle_gamma 90.00
loop_
_atom_site_label
_atom_site_fract_x
_atom_site_fract_y
_atom_site_fract_z
Pa1 0.000 0.000 0.137
Pt1 0.000 0.000 0.300
Pt2 0.000 0.215 0.415
Rh1 0.250 0.000 0.000
Rh2 0.250 0.250 0.250
```


Entry 11:
Entry from the Alexandria database: a geometry-optimized CsCaSi3 structure (PBE).

Output
Total magnetization: 0.000 μB/atom
Raw formation energy: 1.68 eV per atom
ΔE to the lowest computed polymorph: 696 meV/atom

Structure (CIF):
```
data_CsCaSi3
_space_group_name_H-M_alt 'P m -3 m'
_space_group_IT_number 221
_space_group_name_Hall '-P 4 2 3'
_cell_length_a 5.529
_cell_length_b 5.529
_cell_length_c 5.529
_cell_angle_alpha 90.00
_cell_angle_beta 90.00
_cell_angle_gamma 90.00
loop_
_atom_site_label
_atom_site_fract_x
_atom_site_fract_y
_atom_site_fract_z
Cs1 0.000 0.000 0.000
Ca1 0.500 0.500 0.500
Si1 0.000 0.000 0.500
```